# SrLi2ZnCl6

A geometry-optimized SrLi2ZnCl6 structure (PBE, Alexandria).

Formation energy from raw total energies in eV per atom: -1.740
Spin magnetization in μB/f.u.: 0.00
D(E_F) in states/eV/cell: 0.00

Cell: 6.6236 6.6243 7.1597 Å, 62.46 62.43 59.97°
Element x y z (fractional)
1 Sr 0.8124 0.8126 0.5624
2 Li 0.5191 0.5192 0.4428
3 Li 0.0142 0.0146 0.9573
4 Zn 0.3201 0.3199 0.0397
5 Cl 0.5826 0.2503 0.2387
6 Cl 0.2504 0.9283 0.2387
7 Cl 0.9284 0.5824 0.2388
8 Cl 0.3685 0.7228 0.7656
9 Cl 0.7228 0.1430 0.7657
10 Cl 0.1431 0.3686 0.7656